(1)
# Ni2SnBi2

A relaxed structure of Ni2SnBi2 (GGA-PBE, Alexandria).

Geometry as CIF:
```
data_Ni2SnBi2
_space_group_name_H-M_alt 'I 4/m m m'
_space_group_IT_number 139
_space_group_name_Hall '-I 4 2'
_cell_length_a 4.800
_cell_length_b 4.800
_cell_length_c 9.959
_cell_angle_alpha 90.00
_cell_angle_beta 90.00
_cell_angle_gamma 90.00
loop_
_atom_site_label
_atom_site_type_symbol
_atom_site_fract_x
_atom_site_fract_y
_atom_site_fract_z
Ni1 Ni 0.000 0.000 0.119
Sn1 Sn 0.000 0.000 0.500
Bi1 Bi 0.000 0.500 0.250
```

Output
formation energy from the elements = 0.31 eV/atom
total moment = 0.000 μB/cell
energy above the most stable polymorph in this dataset = 185 meV/atom
E = -21.78 eV/f.u.

---

(2)
# NiSnBi3

A relaxed structure of NiSnBi3 (GGA-PBE, Alexandria).

Geometry as CIF:
```
data_NiSnBi3
_space_group_name_H-M_alt 'C 1 2/c 1'
_space_group_IT_number 15
_space_group_name_Hall '-C 2yc'
_cell_length_a 13.854
_cell_length_b 13.080
_cell_length_c 6.545
_cell_angle_alpha 90.00
_cell_angle_beta 115.45
_cell_angle_gamma 90.00
loop_
_atom_site_label
_atom_site_type_symbol
_atom_site_fract_x
_atom_site_fract_y
_atom_site_fract_z
Ni1 Ni 0.000 0.127 0.250
Ni2 Ni 0.000 0.372 0.750
Sn1 Sn 0.109 0.285 0.171
Bi1 Bi 0.122 0.464 0.535
Bi2 Bi 0.124 0.037 0.045
Bi3 Bi 0.132 0.216 0.693
```

Output
formation energy from the elements = 0.02 eV/atom
total moment = 0.000 μB/cell
energy above the most stable polymorph in this dataset = 0 meV/atom
E = -21.32 eV/f.u.

---

(3)
# Ni2SnBi

A relaxed structure of Ni2SnBi (GGA-PBE, Alexandria).

Geometry as CIF:
```
data_Ni2SnBi
_space_group_name_H-M_alt 'F m -3 m'
_space_group_IT_number 225
_space_group_name_Hall '-F 4 2 3'
_cell_length_a 6.612
_cell_length_b 6.612
_cell_length_c 6.612
_cell_angle_alpha 90.00
_cell_angle_beta 90.00
_cell_angle_gamma 90.00
loop_
_atom_site_label
_atom_site_type_symbol
_atom_site_fract_x
_atom_site_fract_y
_atom_site_fract_z
Ni1 Ni 0.250 0.250 0.250
Sn1 Sn 0.000 0.000 0.000
Bi1 Bi 0.000 0.000 0.500
```

Output
formation energy from the elements = 0.17 eV/atom
total moment = 0.000 μB/cell
energy above the most stable polymorph in this dataset = 0 meV/atom
E = -18.75 eV/f.u.

---

(4)
# NiSn2Bi2

A relaxed structure of NiSn2Bi2 (GGA-PBE, Alexandria).

Geometry as CIF:
```
data_NiSn2Bi2
_space_group_name_H-M_alt 'P 4/m b m'
_space_group_IT_number 127
_space_group_name_Hall '-P 4 2ab'
_cell_length_a 6.768
_cell_length_b 6.768
_cell_length_c 5.739
_cell_angle_alpha 90.00
_cell_angle_beta 90.00
_cell_angle_gamma 90.00
loop_
_atom_site_label
_atom_site_type_symbol
_atom_site_fract_x
_atom_site_fract_y
_atom_site_fract_z
Ni1 Ni 0.000 0.000 0.000
Sn1 Sn 0.159 0.341 0.000
Bi1 Bi 0.182 0.682 0.500
```

Output
formation energy from the elements = 0.16 eV/atom
total moment = 0.000 μB/cell
E = -20.75 eV/f.u.

---

(5)
# Ni2SnBi

A relaxed structure of Ni2SnBi (GGA-PBE, Alexandria).

Geometry as CIF:
```
data_Ni2SnBi
_space_group_name_H-M_alt 'I -4 2 d'
_space_group_IT_number 122
_space_group_name_Hall 'I -4 2bw'
_cell_length_a 6.914
_cell_length_b 6.914
_cell_length_c 6.871
_cell_angle_alpha 90.00
_cell_angle_beta 90.00
_cell_angle_gamma 90.00
loop_
_atom_site_label
_atom_site_type_symbol
_atom_site_fract_x
_atom_site_fract_y
_atom_site_fract_z
Ni1 Ni 0.237 0.750 0.125
Sn1 Sn 0.000 0.000 0.000
Bi1 Bi 0.000 0.000 0.500
```

Output
formation energy from the elements = 0.31 eV/atom
total moment = 0.000 μB/cell
energy above the most stable polymorph in this dataset = 141 meV/atom
E = -18.19 eV/f.u.

---

(6)
# Ni2SnBi2

A relaxed structure of Ni2SnBi2 (GGA-PBE, Alexandria).

Geometry as CIF:
```
data_Ni2SnBi2
_space_group_name_H-M_alt 'P 4/m b m'
_space_group_IT_number 127
_space_group_name_Hall '-P 4 2ab'
_cell_length_a 7.135
_cell_length_b 7.135
_cell_length_c 4.082
_cell_angle_alpha 90.00
_cell_angle_beta 90.00
_cell_angle_gamma 90.00
loop_
_atom_site_label
_atom_site_type_symbol
_atom_site_fract_x
_atom_site_fract_y
_atom_site_fract_z
Ni1 Ni 0.129 0.371 0.000
Sn1 Sn 0.000 0.000 0.000
Bi1 Bi 0.165 0.665 0.500
```

Output
formation energy from the elements = 0.12 eV/atom
total moment = 0.000 μB/cell
energy above the most stable polymorph in this dataset = 0 meV/atom
E = -22.71 eV/f.u.

---

Q: The lowest formation energy from the elements belongs to which entry?
A: NiSnBi3

---

Q: total moment of number 4 (NiSn2Bi2)?
A: 0.000 μB/cell

---

Q: What is the formula in the second record?
A: NiSnBi3

---

Q: Which of these has the lowest formation energy from the elements?
A: NiSnBi3